[1]
YTl2Ni: optimized geometry, PBE-GGA.

The value obtained for the formation energy is -0.058 eV per atom. Its space group is Immm (71).

a = 5.791 Å, b = 5.791 Å, c = 5.791 Å
α = 144.13°, β = 124.98°, γ = 67.44°
Atoms (fractional coordinates):
Y 0.000 0.000 0.000
Tl 0.286 0.786 0.500
Tl 0.714 0.214 0.500
Ni 0.500 0.500 0.000



[2]
RbSn2Se2: optimized geometry, PBE-GGA.

Its space group is P4/mbm (127). The energy above the most stable polymorph in this dataset comes out at 0.000 eV per formula unit. The raw formation energy comes out at -0.3647 eV/atom.

a = 9.105 Å, b = 9.105 Å, c = 3.815 Å
α = 90.00°, β = 90.00°, γ = 90.00°
Atoms (fractional coordinates):
Rb 0.000 0.000 0.000
Rb 0.500 0.500 0.000
Sn 0.123 0.377 0.000
Sn 0.377 0.877 0.000
Sn 0.623 0.123 0.000
Sn 0.877 0.623 0.000
Se 0.220 0.720 0.500
Se 0.280 0.220 0.500
Se 0.720 0.780 0.500
Se 0.780 0.280 0.500



[3]
Ba2SrIr: optimized geometry, PBE-GGA.

The value obtained for the formation energy is 0.003 eV per atom. Its space group is R-3m (166). The energy above the most stable polymorph in this dataset comes out at 0.698 eV per formula unit.

a = 11.419 Å, b = 11.419 Å, c = 11.419 Å
α = 22.65°, β = 22.65°, γ = 22.65°
Atoms (fractional coordinates):
Ba 0.217 0.217 0.217
Ba 0.783 0.783 0.783
Sr 0.000 0.000 0.000
Ir 0.500 0.500 0.500



[4]
CoPbAu2: optimized geometry, PBE-GGA.

The value obtained for the formation energy is 0.216 eV per atom. Its space group is P4/mmm (123).

a = 3.191 Å, b = 3.191 Å, c = 7.588 Å
α = 90.00°, β = 90.00°, γ = 90.00°
Atoms (fractional coordinates):
Co 0.000 0.000 0.000
Pb 0.000 0.000 0.500
Au 0.500 0.500 0.195
Au 0.500 0.500 0.805



[5]
NdTm6Mg2: optimized geometry, PBE-GGA.

The value obtained for the formation energy is 0.454 eV per atom. Its space group is R3m (160).

a = 7.562 Å, b = 7.562 Å, c = 7.562 Å
α = 56.11°, β = 56.11°, γ = 56.11°
Atoms (fractional coordinates):
Nd 0.000 0.000 0.000
Tm 0.285 0.729 0.729
Tm 0.454 0.944 0.944
Tm 0.729 0.285 0.729
Tm 0.729 0.729 0.285
Tm 0.944 0.454 0.944
Tm 0.944 0.944 0.454
Mg 0.257 0.257 0.257
Mg 0.434 0.434 0.434



[6]
TaTlHgN2: optimized geometry, PBE-GGA.

Its space group is P4/mmm (123). The raw formation energy comes out at 0.4147 eV/atom.

a = 4.094 Å, b = 4.094 Å, c = 6.014 Å
α = 90.00°, β = 90.00°, γ = 90.00°
Atoms (fractional coordinates):
Ta 0.000 0.000 0.000
Tl 0.000 0.000 0.500
Hg 0.500 0.500 0.500
N 0.000 0.500 0.000
N 0.500 0.000 0.000



[7]
Be2In2Bi: optimized geometry, PBE-GGA.

The value obtained for the formation energy is 0.532 eV per atom. Its space group is I4/mmm (139). The energy above the most stable polymorph in this dataset comes out at 0.000 eV per formula unit.

a = 6.700 Å, b = 6.700 Å, c = 6.700 Å
α = 143.80°, β = 143.80°, γ = 52.13°
Atoms (fractional coordinates):
Be 0.250 0.750 0.500
Be 0.750 0.250 0.500
In 0.124 0.124 0.000
In 0.876 0.876 0.000
Bi 0.500 0.500 0.000



[8]
ErAl2Ge2: optimized geometry, PBE-GGA.

The value obtained for the formation energy is -0.391 eV per atom. Its space group is P-3m1 (164).

a = 4.271 Å, b = 4.271 Å, c = 6.561 Å
α = 90.00°, β = 90.00°, γ = 120.00°
Atoms (fractional coordinates):
Er 0.000 0.000 0.000
Al 0.333 0.667 0.647
Al 0.667 0.333 0.353
Ge 0.333 0.667 0.254
Ge 0.667 0.333 0.746



E? In order: -4.30; -3.55; -3.59; -4.13; -3.41; -5.82; -2.83; -4.65 eV per atom.